Here is crystalline PmCdBO4 at its relaxed geometry from Alexandria. Energies are from PBE-GGA.

The density of states at the Fermi level is 0.08 states/eV/f.u. For the density, the calculation gives 6.56 g/cm³. The calculation puts the uncorrected formation energy at -13.56 eV/f.u.

a b c (Å): 5.9246 6.7676 8.3871
angles (deg): 90.00 90.00 90.00
Closest atoms and distances in Å follow each position.
Space group Imma (No. 74)
Symmetry-distinct sites (fractional):
Pm  0.0000  0.0000  0.0000 (multiplicity 4)  6 O 2.36-2.38
Cd  0.2500  0.2500  0.2500 (multiplicity 4)  2 O 2.19
B  0.0000  0.2500  0.6241 (multiplicity 4)  4 O 1.49-1.61
O  0.0000  0.0691  0.7246 (multiplicity 8)  1 B 1.49
O  0.2186  0.2500  0.5106 (multiplicity 8)  1 B 1.61

***

Here is crystalline AlTc at its relaxed geometry from Alexandria. Energies are from PBE-GGA.

The density of states at the Fermi level is 1.80 states/eV/f.u. The value obtained for the energy of formation from the pure elements is 0.78 eV/f.u. For the density, the calculation gives 6.57 g/cm³.

a b c (Å): 5.0189 5.0189 5.0189
angles (deg): 90.00 90.00 90.00
Closest atoms and distances in Å follow each position.
Space group Fm-3m (No. 225)
Symmetry-distinct sites (fractional):
Al  0.0000  0.0000  0.0000 (multiplicity 4)  6 Tc 2.51
Tc  0.0000  0.0000  0.5000 (multiplicity 4)  6 Al 2.51

***

Here is crystalline NaNpAs2 at its relaxed geometry from Alexandria. Energies are from PBE-GGA.

The density of states at the Fermi level is 8.45 states/eV/f.u. The value obtained for the energy of formation from the pure elements is -1.51 eV/f.u. For the density, the calculation gives 7.11 g/cm³.

a b c (Å): 3.7536 3.7536 6.7948
angles (deg): 90.00 90.00 90.00
Closest atoms and distances in Å follow each position.
Space group P4/mmm (No. 123)
Symmetry-distinct sites (fractional):
Na  0.0000  0.0000  0.0000 (multiplicity 1)  8 As 3.35, 2 Np 3.40
Np  0.0000  0.0000  0.5000 (multiplicity 1)  8 As 2.98
As  0.5000  0.5000  0.3008 (multiplicity 2)  1 As 2.71, 4 Np 2.98

***

Here is crystalline Tm4Sb2N at its relaxed geometry from Alexandria. Energies are from PBE-GGA.

The density of states at the Fermi level is 5.47 states/eV/f.u. For the density, the calculation gives 9.46 g/cm³. The calculation puts the uncorrected formation energy at -7.07 eV/f.u.

a b c (Å): 12.1122 3.6718 8.1591
angles (deg): 90.00 115.52 90.00
Closest atoms and distances in Å follow each position.
Space group C2/m (No. 12)
Symmetry-distinct sites (fractional):
Tm  0.0612  0.0000  0.3236 (multiplicity 4)  1 N 2.42
Tm  0.1360  0.5000  0.0448 (multiplicity 4)  2 N 2.39
Sb  0.1605  0.5000  0.6825 (multiplicity 4)  8 Tm 3.10-3.39
N  0.0000  0.0000  0.0000 (multiplicity 2)  6 Tm 2.39-2.42

***

| no. | total energy (eV per formula unit) | V (Å³/cell) |
| --- | --- | --- |
| 1 | -45.7 | 336.3 |
| 2 | -13.3 | 126.4 |
| 3 | -25.1 | 95.7 |
| 4 | -41.5 | 327.5 |